HPdRuPt2 | PBE | relaxed

The structure belongs to space group P4/mmm (No. 123); the cell edges are 3.998, 3.998 and 3.956 Å and the angles 90.00°, 90.00° and 90.00°. The inequivalent atoms are H at (0.000, 0.000, 0.000), Pd at (0.500, 0.500, 0.500), Ru at (0.000, 0.000, 0.500) and Pt at (0.000, 0.500, 0.000).

The electronic total energy is -5.8306 eV per atom.